Entry 1:
LiCuNi2 | meta-GGA SCAN | single point on PBEsol structure

As for the density of states at the Fermi level: 2.5 states/eV/cell. As for the crystal system: monoclinic. Its energy of formation is 0.05 eV per atom. The volume comes out at 42.7 Å³/cell.

```
LiCuNi2
1.0
2.400 0.000 0.000
0.000 4.090 0.000
-0.337 0.000 4.348
Li Cu Ni
1 1 2
Direct
0.000 0.000 0.000
0.500 0.000 0.500
0.237 0.500 0.751
0.763 0.500 0.249
```

=====

Entry 2:
TaCu2PbC | meta-GGA SCAN | single point on PBEsol structure

As for the density of states at the Fermi level: 3.9 states/eV/cell. As for the crystal system: tetragonal. Its energy of formation is 2.49 eV per atom. The volume comes out at 92.6 Å³/cell.

```
TaCu2PbC
1.0
4.700 0.000 0.000
0.000 4.700 0.000
0.000 0.000 4.195
Ta Cu Pb C
1 2 1 1
Direct
0.000 0.000 0.000
0.000 0.500 0.500
0.500 0.000 0.500
0.500 0.500 0.500
0.500 0.500 0.000
```

=====

Entry 3:
RbReP2Cl | meta-GGA SCAN | single point on PBEsol structure

As for the density of states at the Fermi level: 2.3 states/eV/cell. As for the crystal system: tetragonal. The raw formation energy comes out at -0.26 eV/atom. The volume comes out at 113.9 Å³/cell.

```
RbReP2Cl
1.0
4.546 0.000 0.000
0.000 4.546 0.000
0.000 0.000 5.512
Rb Re P Cl
1 1 2 1
Direct
0.000 0.000 0.000
0.500 0.500 0.500
0.000 0.500 0.500
0.500 0.000 0.500
0.500 0.500 0.000
```

=====

Entry 4:
TlCd2 | meta-GGA SCAN | single point on PBEsol structure

As for the density of states at the Fermi level: 2.3 states/eV/cell. As for the crystal system: orthorhombic. Its energy of formation is 0.07 eV per atom. The volume comes out at 142.4 Å³/cell.

```
TlCd2
1.0
1.634 -8.608 0.000
1.634 8.608 0.000
0.000 0.000 5.060
Tl Cd
2 4
Direct
0.062 0.938 0.750
0.938 0.062 0.250
0.269 0.731 0.250
0.379 0.621 0.750
0.621 0.379 0.250
0.731 0.269 0.750
```

=====

Entry 5:
Na2TlAg2 | meta-GGA SCAN | single point on PBEsol structure

As for the density of states at the Fermi level: 3.3 states/eV/cell. As for the crystal system: tetragonal. Its energy of formation is -0.02 eV per atom. The volume comes out at 235.6 Å³/cell.

```
Na2TlAg2
1.0
7.294 0.000 0.000
0.000 7.294 0.000
0.000 0.000 4.429
Na Tl Ag
4 2 4
Direct
0.169 0.331 0.000
0.331 0.831 0.000
0.669 0.169 0.000
0.831 0.669 0.000
0.000 0.000 0.500
0.500 0.500 0.500
0.132 0.632 0.500
0.368 0.132 0.500
0.632 0.868 0.500
0.868 0.368 0.500
```

=====

Entry 6:
LuMn4Cu3O12 | meta-GGA SCAN | single point on PBEsol structure

As for the density of states at the Fermi level: 3.9 states/eV/cell. As for the crystal system: cubic. The raw formation energy comes out at -2.00 eV/atom. The volume comes out at 182.4 Å³/cell.

```
LuMn4Cu3O12
1.0
-3.573 3.573 3.573
3.573 -3.573 3.573
3.573 3.573 -3.573
Lu Mn Cu O
1 4 3 12
Direct
0.000 0.000 0.000
0.000 0.000 0.500
0.000 0.500 0.000
0.500 0.000 0.000
0.500 0.500 0.500
0.000 0.500 0.500
0.500 0.000 0.500
0.500 0.500 0.000
0.121 0.296 0.824
0.176 0.472 0.296
0.176 0.879 0.704
0.296 0.176 0.472
0.296 0.824 0.121
0.472 0.296 0.176
0.528 0.704 0.824
0.704 0.176 0.879
0.704 0.824 0.528
0.824 0.121 0.296
0.824 0.528 0.704
0.879 0.704 0.176
```

=====

Entry 7:
ScTlCd | meta-GGA SCAN | single point on PBEsol structure

As for the density of states at the Fermi level: 1.4 states/eV/cell. As for the crystal system: tetragonal. Its energy of formation is -0.23 eV per atom. The volume comes out at 66.3 Å³/cell.

```
ScTlCd
1.0
-1.641 1.641 6.161
1.641 -1.641 6.161
1.641 1.641 -6.161
Sc Tl Cd
1 1 1
Direct
0.000 0.000 0.000
0.668 0.668 0.000
0.340 0.340 0.000
```

=====

Entry 8:
BHF3 | meta-GGA SCAN | single point on PBEsol structure

As for the density of states at the Fermi level: 0.0 states/eV/cell. As for the crystal system: cubic. The volume comes out at 34.6 Å³/cell. The calculation puts the total DFT energy (no corrections) at -26.9 eV per cell.

```
BHF3
1.0
3.258 0.000 0.000
0.000 3.258 0.000
0.000 0.000 3.258
B H F
1 1 3
Direct
0.000 0.000 0.000
0.500 0.500 0.500
0.000 0.000 0.500
0.000 0.500 0.000
0.500 0.000 0.000
```

=====

Entry 9:
LiCoW3 | meta-GGA SCAN | single point on PBEsol structure

As for the density of states at the Fermi level: 1.9 states/eV/cell. As for the crystal system: cubic. Its energy of formation is 1.59 eV per atom. The volume comes out at 69.0 Å³/cell.

```
LiCoW3
1.0
4.102 0.000 0.000
0.000 4.102 0.000
0.000 0.000 4.102
Li Co W
1 1 3
Direct
0.000 0.000 0.000
0.500 0.500 0.500
0.000 0.000 0.500
0.000 0.500 0.000
0.500 0.000 0.000
```

=====

Entry 10:
Ba7BrClF12 | meta-GGA SCAN | single point on PBEsol structure

As for the density of states at the Fermi level: 0.0 states/eV/cell. As for the crystal system: hexagonal. The raw formation energy comes out at -3.92 eV/atom. The volume comes out at 407.9 Å³/cell.

```
Ba7BrClF12
1.0
10.634 0.000 0.000
-5.317 9.209 0.000
0.000 0.000 4.165
Ba Br Cl F
7 1 1 12
Direct
0.000 0.000 0.000
0.108 0.411 0.000
0.303 0.892 0.000
0.396 0.287 0.500
0.589 0.697 0.000
0.713 0.108 0.500
0.892 0.604 0.500
0.667 0.333 0.000
0.333 0.667 0.500
0.066 0.635 0.000
0.099 0.885 0.500
0.115 0.215 0.500
0.276 0.121 0.000
0.365 0.431 0.000
0.437 0.049 0.500
0.569 0.934 0.000
0.612 0.563 0.500
0.785 0.901 0.500
0.845 0.724 0.000
0.879 0.155 0.000
0.951 0.388 0.500
```

=====

Entry 11:
SrFeOs3 | meta-GGA SCAN | single point on PBEsol structure

As for the density of states at the Fermi level: 4.1 states/eV/cell. As for the crystal system: cubic. Its energy of formation is 4.00 eV per atom. The volume comes out at 104.2 Å³/cell.

```
SrFeOs3
1.0
4.705 0.000 0.000
0.000 4.705 0.000
0.000 0.000 4.705
Sr Fe Os
1 1 3
Direct
0.000 0.000 0.000
0.500 0.500 0.500
0.000 0.000 0.500
0.000 0.500 0.000
0.500 0.000 0.000
```

=====

Entry 12:
LaTa2TeN | meta-GGA SCAN | single point on PBEsol structure

As for the density of states at the Fermi level: 5.2 states/eV/cell. As for the crystal system: tetragonal. The raw formation energy comes out at 3.04 eV/atom. The volume comes out at 151.0 Å³/cell.

```
LaTa2TeN
1.0
5.073 0.000 0.000
0.000 5.073 0.000
0.000 0.000 5.866
La Ta Te N
1 2 1 1
Direct
0.000 0.000 0.000
0.000 0.500 0.000
0.500 0.000 0.000
0.000 0.000 0.500
0.500 0.500 0.500
```

=====

Entry 13:
KAgRu2 | meta-GGA SCAN | single point on PBEsol structure

As for the density of states at the Fermi level: 3.4 states/eV/cell. As for the crystal system: orthorhombic. Its energy of formation is 0.81 eV per atom. The volume comes out at 68.1 Å³/cell. Its energy relative to the lowest polymorph listed for this composition is 15.2 kJ/mol of atoms.

```
KAgRu2
1.0
1.422 -2.344 0.000
1.422 2.344 0.000
0.000 0.000 10.215
K Ag Ru
1 1 2
Direct
0.000 0.000 0.000
0.500 0.500 0.287
0.000 0.000 0.525
0.500 0.500 0.727
```

=====

Entry 14:
BaTaNi | meta-GGA SCAN | single point on PBEsol structure

As for the density of states at the Fermi level: 1.9 states/eV/cell. As for the crystal system: tetragonal. Its energy of formation is 0.46 eV per atom. The volume comes out at 69.1 Å³/cell. Its energy relative to the lowest polymorph listed for this composition is 0.0 kJ/mol of atoms.

```
BaTaNi
1.0
-1.659 1.659 6.274
1.659 -1.659 6.274
1.659 1.659 -6.274
Ba Ta Ni
1 1 1
Direct
0.000 0.000 0.000
0.731 0.731 0.000
0.295 0.295 0.000
```

=====

Entry 15:
Zr2InCl | meta-GGA SCAN | single point on PBEsol structure

As for the density of states at the Fermi level: 3.0 states/eV/cell. As for the crystal system: orthorhombic. The raw formation energy comes out at -0.27 eV/atom. The volume comes out at 85.3 Å³/cell. Its energy relative to the lowest polymorph listed for this composition is 35.4 kJ/mol of atoms.

```
Zr2InCl
1.0
3.220 0.000 0.000
0.000 4.832 0.000
0.000 0.000 5.484
Zr In Cl
2 1 1
Direct
0.000 0.000 0.000
0.500 0.000 0.500
0.000 0.500 0.500
0.500 0.500 0.000
```

=====

Entry 16:
MgV2O6 | meta-GGA SCAN | single point on PBEsol structure

As for the density of states at the Fermi level: 0.0 states/eV/cell. As for the crystal system: monoclinic. The raw formation energy comes out at -2.59 eV/atom. The volume comes out at 196.8 Å³/cell. Its energy relative to the lowest polymorph listed for this composition is 2.0 kJ/mol of atoms.

```
MgV2O6
1.0
5.153 0.000 0.000
0.000 4.790 0.000
-0.036 0.000 7.972
Mg V O
2 4 12
Direct
0.203 0.000 0.248
0.797 0.500 0.752
0.259 0.597 0.946
0.260 0.526 0.480
0.740 0.026 0.520
0.741 0.097 0.054
0.013 0.320 0.566
0.023 0.334 0.947
0.231 0.707 0.753
0.265 0.413 0.283
0.455 0.887 0.063
0.461 0.872 0.433
0.539 0.372 0.567
0.545 0.387 0.937
0.735 0.913 0.717
0.769 0.207 0.247
0.977 0.834 0.053
0.987 0.820 0.434
```

=====

Entry 17:
TaAlCr2 | meta-GGA SCAN | single point on PBEsol structure

As for the density of states at the Fermi level: 2.7 states/eV/cell. As for the crystal system: cubic. Its energy of formation is -0.01 eV per atom. The volume comes out at 55.6 Å³/cell.

```
TaAlCr2
1.0
0.000 3.030 3.030
3.030 0.000 3.030
3.030 3.030 0.000
Ta Al Cr
1 1 2
Direct
0.000 0.000 0.000
0.250 0.250 0.250
0.500 0.500 0.500
0.750 0.750 0.750
```

=====

Entry 18:
La4CoPb | meta-GGA SCAN | single point on PBEsol structure

As for the density of states at the Fermi level: 5.7 states/eV/cell. As for the crystal system: cubic. Its energy of formation is 0.42 eV per atom. The volume comes out at 174.2 Å³/cell.

```
La4CoPb
1.0
0.000 4.433 4.433
4.433 0.000 4.433
4.433 4.433 0.000
La Co Pb
4 1 1
Direct
0.125 0.125 0.125
0.125 0.125 0.624
0.125 0.624 0.125
0.624 0.125 0.125
0.750 0.750 0.750
0.500 0.500 0.500
```

=====

Entry 19:
AlCo2As | meta-GGA SCAN | single point on PBEsol structure

As for the density of states at the Fermi level: 2.6 states/eV/cell. As for the crystal system: tetragonal. Its energy of formation is 0.01 eV per atom. The volume comes out at 53.4 Å³/cell. Its energy relative to the lowest polymorph listed for this composition is 26.1 kJ/mol of atoms.

```
AlCo2As
1.0
2.835 0.000 0.000
0.000 2.835 0.000
0.000 0.000 6.640
Al Co As
1 2 1
Direct
0.000 0.000 0.000
0.000 0.000 0.577
0.500 0.500 0.805
0.500 0.500 0.385
```

=====

Entry 20:
AcCl3 | meta-GGA SCAN | single point on PBEsol structure

As for the density of states at the Fermi level: 0.0 states/eV/cell. As for the crystal system: hexagonal. The raw formation energy comes out at -2.79 eV/atom. The volume comes out at 224.4 Å³/cell.

```
AcCl3
1.0
7.596 0.000 0.000
-3.798 6.579 0.000
0.000 0.000 4.491
Ac Cl
2 6
Direct
0.333 0.667 0.250
0.667 0.333 0.750
0.086 0.697 0.750
0.303 0.389 0.750
0.389 0.086 0.250
0.611 0.914 0.750
0.697 0.611 0.250
0.914 0.303 0.250
```

=====

Entry 21:
AsPtPb2 | meta-GGA SCAN | single point on PBEsol structure

As for the density of states at the Fermi level: 2.3 states/eV/cell. As for the crystal system: tetragonal. Its energy of formation is 0.25 eV per atom. The volume comes out at 88.1 Å³/cell.

```
AsPtPb2
1.0
-2.385 2.385 3.872
2.385 -2.385 3.872
2.385 2.385 -3.872
As Pt Pb
1 1 2
Direct
0.000 0.000 0.000
0.500 0.500 0.000
0.250 0.750 0.500
0.750 0.250 0.500
```

=====

Entry 22:
CsBaBrO2 | meta-GGA SCAN | single point on PBEsol structure

As for the density of states at the Fermi level: 1.9 states/eV/cell. As for the crystal system: tetragonal. The raw formation energy comes out at -0.11 eV/atom. The volume comes out at 136.9 Å³/cell.

```
CsBaBrO2
1.0
5.010 0.000 0.000
0.000 5.010 0.000
0.000 0.000 5.455
Cs Ba Br O
1 1 1 2
Direct
0.000 0.000 0.000
0.500 0.500 0.000
0.500 0.500 0.500
0.000 0.500 0.500
0.500 0.000 0.500
```

=====

Entry 23:
LiAs2BrN | meta-GGA SCAN | single point on PBEsol structure

As for the density of states at the Fermi level: 3.0 states/eV/cell. As for the crystal system: tetragonal. The raw formation energy comes out at 1.30 eV/atom. The volume comes out at 96.8 Å³/cell.

```
LiAs2BrN
1.0
4.502 0.000 0.000
0.000 4.502 0.000
0.000 0.000 4.775
Li As Br N
1 2 1 1
Direct
0.000 0.000 0.000
0.000 0.500 0.000
0.500 0.000 0.000
0.000 0.000 0.500
0.500 0.500 0.500
```

=====

Entry 24:
MnFeSb | meta-GGA SCAN | single point on PBEsol structure

As for the density of states at the Fermi level: 1.0 states/eV/cell. As for the crystal system: tetragonal. The raw formation energy comes out at 0.02 eV/atom. The volume comes out at 44.1 Å³/cell.

```
MnFeSb
1.0
-1.658 1.658 4.014
1.658 -1.658 4.014
1.658 1.658 -4.014
Mn Fe Sb
1 1 1
Direct
0.000 0.000 0.000
0.656 0.656 0.000
0.327 0.327 0.000
```

=====

Entry 25:
ZnHg3 | meta-GGA SCAN | single point on PBEsol structure

As for the density of states at the Fermi level: 1.3 states/eV/cell. As for the crystal system: orthorhombic. Its energy of formation is 0.11 eV per atom. The volume comes out at 84.8 Å³/cell. Its energy relative to the lowest polymorph listed for this composition is 4.5 kJ/mol of atoms.

```
ZnHg3
1.0
2.203 -2.565 0.000
2.203 2.565 0.000
0.000 0.000 7.508
Zn Hg
1 3
Direct
0.000 0.000 0.000
0.000 0.000 0.500
0.500 0.500 0.224
0.500 0.500 0.776
```

=====

Entry 26:
ReMoPCl2 | meta-GGA SCAN | single point on PBEsol structure

As for the density of states at the Fermi level: 1.9 states/eV/cell. As for the crystal system: tetragonal. The raw formation energy comes out at 1.14 eV/atom. The volume comes out at 102.8 Å³/cell.

```
ReMoPCl2
1.0
4.548 0.000 0.000
0.000 4.548 0.000
0.000 0.000 4.969
Re Mo P Cl
1 1 1 2
Direct
0.000 0.000 0.000
0.500 0.500 0.500
0.500 0.500 0.000
0.000 0.500 0.500
0.500 0.000 0.500
```

=====

Entry 27:
MgReRh3 | meta-GGA SCAN | single point on PBEsol structure

As for the density of states at the Fermi level: 4.4 states/eV/cell. As for the crystal system: cubic. Its energy of formation is 1.52 eV per atom. The volume comes out at 79.9 Å³/cell.

```
MgReRh3
1.0
4.308 0.000 0.000
0.000 4.308 0.000
0.000 0.000 4.308
Mg Re Rh
1 1 3
Direct
0.000 0.000 0.000
0.500 0.500 0.500
0.000 0.000 0.500
0.000 0.500 0.000
0.500 0.000 0.000
```